(1)
First-principles (GGA-PBE) data for a geometry-optimized CeSmCo2 structure, as listed in Alexandria via LeMat-Bulk.

The structure belongs to space group Amm2 (No. 38); the cell edges are 3.875, 3.715 and 11.098 Å and the angles 90.00°, 90.00° and 90.00°. The distinct sites, in fractional coordinates, are Ce at (0.000, 0.000, 0.000), Sm at (0.500, 0.000, 0.730), Co at (0.000, 0.000, 0.308) and Co at (0.500, 0.000, 0.457).

The formation enthalpy at 0 K comes out at -0.153 eV/atom. The value obtained for the energy above the most stable polymorph in this dataset is 4.1 kJ per mole of atoms. As for the calculated volume: 159.8 Å³ per cell.

***

(2)
First-principles (GGA-PBE) data for a geometry-optimized BeBi4 structure, as listed in Alexandria via LeMat-Bulk.

The structure belongs to space group Pm-3m (No. 221); the cell edges are 5.211, 5.211 and 5.211 Å and the angles 90.00°, 90.00° and 90.00°. The distinct sites, in fractional coordinates, are Be at (0.000, 0.000, 0.000), Bi at (0.000, 0.000, 0.500) and Bi at (0.500, 0.500, 0.500).

The formation enthalpy at 0 K comes out at 0.415 eV/atom. As for the calculated volume: 141.5 Å³ per cell.

***

Q: The highest formation enthalpy at 0 K belongs to which entry?
A: BeBi4

***

Q: Which of these has the highest calculated volume?
A: CeSmCo2

***

Q: What is the calculated volume in the second record?
A: 141.5 Å³ per cell

***

What did the first record say?
First-principles (GGA-PBE) data for a geometry-optimized CeSmCo2 structure, as listed in Alexandria via LeMat-Bulk.

The structure belongs to space group Amm2 (No. 38); the cell edges are 3.875, 3.715 and 11.098 Å and the angles 90.00°, 90.00° and 90.00°. The distinct sites, in fractional coordinates, are Ce at (0.000, 0.000, 0.000), Sm at (0.500, 0.000, 0.730), Co at (0.000, 0.000, 0.308) and Co at (0.500, 0.000, 0.457).

The formation enthalpy at 0 K comes out at -0.153 eV/atom. The value obtained for the energy above the most stable polymorph in this dataset is 4.1 kJ per mole of atoms. As for the calculated volume: 159.8 Å³ per cell.